Record 1
Material: NbTe3Pd12
Method: DFT, PBE
State: optimized geometry

It has space group P4/mmm (No. 123), with a = 4.020 Å, b = 4.020 Å, c = 16.804 Å, α = 90.00°, β = 90.00° and γ = 90.00°. The distinct sites, in fractional coordinates, are Nb at (0.000, 0.000, 0.000), Te at (0.000, 0.000, 0.256), Te at (0.000, 0.000, 0.500), Pd at (0.000, 0.500, 0.112), Pd at (0.000, 0.500, 0.370), Pd at (0.500, 0.500, 0.000), Pd at (0.500, 0.500, 0.235) and Pd at (0.500, 0.500, 0.500).

The total energy is -85.7 eV for the cell shown. The value obtained for the total moment is 0.0 Bohr magnetons per cell. Its uncorrected formation energy is -0.25 eV/atom.


Record 2
Material: NiW2C
Method: DFT, PBE
State: optimized geometry

It has space group I-42d (No. 122), with a = 4.820 Å, b = 4.820 Å, c = 10.715 Å, α = 90.00°, β = 90.00° and γ = 90.00°. The distinct sites, in fractional coordinates, are Ni at (0.000, 0.000, 0.000), W at (0.183, 0.250, 0.625) and C at (0.000, 0.000, 0.500).

The total energy is -148.6 eV for the cell shown. The value obtained for the total moment is 0.0 Bohr magnetons per cell. The energy of formation is 3.76 eV per formula unit.


Record 3
Material: Li3Pr
Method: DFT, PBE
State: optimized geometry

It has space group Pm-3m (No. 221), with a = 4.722 Å, b = 4.722 Å, c = 4.722 Å, α = 90.00°, β = 90.00° and γ = 90.00°. The distinct sites, in fractional coordinates, are Li at (0.000, 0.000, 0.500) and Pr at (0.500, 0.500, 0.500).

The total energy is -9.5 eV for the cell shown. For the energy above the most stable polymorph in this dataset, the calculation gives 0.225 eV/atom. The value obtained for the total moment is 2.2 Bohr magnetons per cell. The energy of formation is 1.05 eV per formula unit.


Record 4
Material: Pu6SbPb2
Method: DFT, PBE
State: optimized geometry

It has space group P6/mmm (No. 191), with a = 9.0074 Å, b = 9.0074 Å, c = 3.4103 Å, α = 90.00°, β = 90.00° and γ = 120.00°. The distinct sites, in fractional coordinates, are Pu at (0.0000, 0.3297, 0.0000), Sb at (0.0000, 0.0000, 0.5000) and Pb at (0.3333, 0.6667, 0.5000).

The total energy is -98.2 eV for the cell shown. The value obtained for the total moment is 37.5 Bohr magnetons per cell. Its uncorrected formation energy is -0.07 eV/atom.


Record 5
Material: Li2Mg3NpO6
Method: DFT, PBE
State: optimized geometry

It has space group C2/m (No. 12), with a = 5.334 Å, b = 9.294 Å, c = 5.404 Å, α = 90.00°, β = 108.37° and γ = 90.00°. The distinct sites, in fractional coordinates, are Li at (0.000, 0.166, 0.000), Mg at (0.000, 0.000, 0.500), Mg at (0.000, 0.324, 0.500), Np at (0.000, 0.500, 0.000), O at (0.240, 0.500, 0.735) and O at (0.244, 0.165, 0.732).

The total energy is -163.5 eV for the cell shown. The value obtained for the total moment is 6.0 Bohr magnetons per cell. Its uncorrected formation energy is -2.54 eV/atom.


Record 6
Material: ZrBRh3
Method: DFT, PBE
State: optimized geometry

It has space group C2/m (No. 12), with a = 14.465 Å, b = 2.918 Å, c = 7.017 Å, α = 90.00°, β = 98.44° and γ = 90.00°. The distinct sites, in fractional coordinates, are Zr at (0.115, 0.000, 0.076), B at (0.065, 0.500, 0.480), Rh at (0.029, 0.000, 0.699), Rh at (0.168, 0.000, 0.450) and Rh at (0.200, 0.500, 0.823).

The total energy is -154.7 eV for the cell shown. The value obtained for the total moment is 0.0 Bohr magnetons per cell. The energy of formation is -1.40 eV per formula unit.


Record 7
Material: Zr2PaNb
Method: DFT, PBE
State: optimized geometry

It has space group P4/mmm (No. 123), with a = 4.146 Å, b = 4.146 Å, c = 5.220 Å, α = 90.00°, β = 90.00° and γ = 90.00°. The distinct sites, in fractional coordinates, are Zr at (0.000, 0.500, 0.000), Pa at (0.000, 0.000, 0.500) and Nb at (0.500, 0.500, 0.500).

The total energy is -35.9 eV for the cell shown. For the energy above the most stable polymorph in this dataset, the calculation gives 0.081 eV/atom. The value obtained for the total moment is 0.0 Bohr magnetons per cell. The energy of formation is 0.77 eV per formula unit.


Record 8
Material: ZrCuC
Method: DFT, PBE
State: optimized geometry

It has space group Pmmn (No. 59, origin choice 2), with a = 4.367 Å, b = 4.538 Å, c = 8.203 Å, α = 90.00°, β = 90.00° and γ = 90.00°. The distinct sites, in fractional coordinates, are Zr at (0.250, 0.250, 0.065), Zr at (0.250, 0.750, 0.425), Cu at (0.250, 0.501, 0.745), C at (0.250, 0.250, 0.353) and C at (0.250, 0.750, 0.971).

The total energy is -86.1 eV for the cell shown. The value obtained for the total moment is 0.0 Bohr magnetons per cell. The energy of formation is 0.33 eV per formula unit.


Record 9
Material: Pm13Tm2
Method: DFT, PBE
State: optimized geometry

It has space group P-1 (No. 2), with a = 6.733 Å, b = 9.101 Å, c = 9.105 Å, α = 66.28°, β = 82.23° and γ = 82.16°. The distinct sites, in fractional coordinates, are Pm at (0.000, 0.000, 0.000), Pm at (0.103, 0.436, 0.765), Pm at (0.194, 0.194, 0.208), Pm at (0.298, 0.628, 0.974), Pm at (0.305, 0.961, 0.639), Pm at (0.396, 0.397, 0.406), Pm at (0.498, 0.169, 0.835) and Tm at (0.098, 0.769, 0.430).

The total energy is -69.8 eV for the cell shown. For the energy above the most stable polymorph in this dataset, the calculation gives 0.000 eV/atom. The value obtained for the total moment is 0.0 Bohr magnetons per cell. The energy of formation is 0.88 eV per formula unit.


Record 10
Material: Zr2Ga2Co
Method: DFT, PBE
State: optimized geometry

It has space group Ibam (No. 72), with a = 5.958 Å, b = 11.445 Å, c = 5.563 Å, α = 90.00°, β = 90.00° and γ = 90.00°. The distinct sites, in fractional coordinates, are Zr at (0.210, 0.124, 0.000), Ga at (0.233, 0.373, 0.000) and Co at (0.000, 0.500, 0.250).

The total energy is -127.2 eV for the cell shown. For the energy above the most stable polymorph in this dataset, the calculation gives 0.226 eV/atom. The value obtained for the total moment is 1.1 Bohr magnetons per cell. The energy of formation is -1.56 eV per formula unit.


Record 11
Material: Pu2CoNi3H12
Method: DFT, PBE
State: optimized geometry

It has space group R-3m (No. 166, hexagonal axes), with a = 5.7650 Å, b = 5.7650 Å, c = 14.2462 Å, α = 90.00°, β = 90.00° and γ = 120.00°. The distinct sites, in fractional coordinates, are Pu at (0.0000, 0.0000, 0.1263), Co at (0.0000, 0.0000, 0.5000), Ni at (0.0000, 0.5000, 0.0000), H at (0.0477, 0.5239, 0.3646) and H at (0.0496, 0.5248, 0.1140).

The total energy is -288.6 eV for the cell shown. The value obtained for the total moment is 37.2 Bohr magnetons per cell.


Record 12
Material: BaBiAu
Method: DFT, PBE
State: optimized geometry

It has space group C2/m (No. 12), with a = 18.788 Å, b = 4.533 Å, c = 5.163 Å, α = 90.00°, β = 104.87° and γ = 90.00°. The distinct sites, in fractional coordinates, are Ba at (0.116, 0.000, 0.354), Bi at (0.191, 0.500, 0.921) and Au at (0.028, 0.500, 0.776).

The total energy is -44.0 eV for the cell shown. The value obtained for the total moment is 0.0 Bohr magnetons per cell. The energy of formation is -1.91 eV per formula unit.


Record 13
Material: Li4SmSn
Method: DFT, PBE
State: optimized geometry

It has space group F-43m (No. 216), with a = 7.846 Å, b = 7.846 Å, c = 7.846 Å, α = 90.00°, β = 90.00° and γ = 90.00°. The distinct sites, in fractional coordinates, are Li at (0.124, 0.124, 0.376), Sm at (0.000, 0.000, 0.000) and Sn at (0.250, 0.250, 0.750).

The total energy is -69.4 eV for the cell shown. The value obtained for the total moment is 0.0 Bohr magnetons per cell. The energy of formation is -0.97 eV per formula unit.


Record 14
Material: Sr2TcAu
Method: DFT, PBE
State: optimized geometry

It has space group Amm2 (No. 38), with a = 4.615 Å, b = 4.610 Å, c = 11.308 Å, α = 90.00°, β = 90.00° and γ = 90.00°. The distinct sites, in fractional coordinates, are Sr at (0.000, 0.000, 0.000), Sr at (0.500, 0.000, 0.292), Tc at (0.500, 0.000, 0.593) and Au at (0.000, 0.000, 0.703).

The total energy is -32.7 eV for the cell shown. For the energy above the most stable polymorph in this dataset, the calculation gives 0.000 eV/atom. The value obtained for the total moment is 4.0 Bohr magnetons per cell. The energy of formation is 0.67 eV per formula unit.


Record 15
Material: Pa2Si3Pt2
Method: DFT, PBE
State: optimized geometry

It has space group Cmcm (No. 63), with a = 4.190 Å, b = 17.912 Å, c = 6.834 Å, α = 90.00°, β = 90.00° and γ = 90.00°. The distinct sites, in fractional coordinates, are Pa at (0.000, 0.053, 0.250), Pa at (0.000, 0.151, 0.750), Si at (0.000, 0.222, 0.250), Si at (0.000, 0.443, 0.073) and Pt at (0.000, 0.312, 0.546).

The total energy is -212.7 eV for the cell shown. For the energy above the most stable polymorph in this dataset, the calculation gives 0.000 eV/atom. The value obtained for the total moment is 0.0 Bohr magnetons per cell. Its uncorrected formation energy is -0.83 eV/atom.


Record 16
Material: Na2Sn4Pb5
Method: DFT, PBE
State: optimized geometry

It has space group C2/m (No. 12), with a = 21.956 Å, b = 3.364 Å, c = 9.243 Å, α = 90.00°, β = 92.13° and γ = 90.00°. The distinct sites, in fractional coordinates, are Na at (0.115, 0.000, 0.011), Sn at (0.001, 0.500, 0.829), Sn at (0.124, 0.500, 0.334), Pb at (0.000, 0.000, 0.500), Pb at (0.132, 0.500, 0.672) and Pb at (0.247, 0.500, 0.163).

The total energy is -74.8 eV for the cell shown. For the energy above the most stable polymorph in this dataset, the calculation gives 0.000 eV/atom. The value obtained for the total moment is 0.0 Bohr magnetons per cell. The energy of formation is -0.23 eV per formula unit.


Record 17
Material: SrTbEu2
Method: DFT, PBE
State: optimized geometry

It has space group Fm-3m (No. 225), with a = 8.678 Å, b = 8.678 Å, c = 8.678 Å, α = 90.00°, β = 90.00° and γ = 90.00°. The distinct sites, in fractional coordinates, are Sr at (0.000, 0.000, 0.000), Tb at (0.000, 0.000, 0.500) and Eu at (0.250, 0.250, 0.250).

The total energy is -105.3 eV for the cell shown. For the energy above the most stable polymorph in this dataset, the calculation gives 0.046 eV/atom. The value obtained for the total moment is 58.6 Bohr magnetons per cell. The energy of formation is 0.54 eV per formula unit.


Record 18
Material: CdHOs2Se
Method: DFT, PBE
State: optimized geometry

It has space group P4/mmm (No. 123), with a = 4.547 Å, b = 4.547 Å, c = 5.455 Å, α = 90.00°, β = 90.00° and γ = 90.00°. The distinct sites, in fractional coordinates, are Cd at (0.000, 0.000, 0.000), H at (0.500, 0.500, 0.000), Os at (0.000, 0.500, 0.500) and Se at (0.000, 0.000, 0.500).

The total energy is -20.2 eV for the cell shown. The value obtained for the total moment is 2.7 Bohr magnetons per cell.


Record 19
Material: ScInAs3
Method: DFT, PBE
State: optimized geometry

It has space group Pm-3m (No. 221), with a = 5.138 Å, b = 5.138 Å, c = 5.138 Å, α = 90.00°, β = 90.00° and γ = 90.00°. The distinct sites, in fractional coordinates, are Sc at (0.000, 0.000, 0.000), In at (0.500, 0.500, 0.500) and As at (0.000, 0.500, 0.500).

The total energy is -20.0 eV for the cell shown. For the energy above the most stable polymorph in this dataset, the calculation gives 0.515 eV/atom. The value obtained for the total moment is 0.0 Bohr magnetons per cell. The energy of formation is 3.06 eV per formula unit.


Record 20
Material: Ti7NiPt2
Method: DFT, PBE
State: optimized geometry

It has space group Fm-3m (No. 225), with a = 8.935 Å, b = 8.935 Å, c = 8.935 Å, α = 90.00°, β = 90.00° and γ = 90.00°. The distinct sites, in fractional coordinates, are Ti at (0.000, 0.000, 0.000), Ti at (0.000, 0.000, 0.252), Ni at (0.000, 0.000, 0.500) and Pt at (0.250, 0.250, 0.250).

The total energy is -273.9 eV for the cell shown. The value obtained for the total moment is 0.0 Bohr magnetons per cell. The energy of formation is 4.65 eV per formula unit.